Density functional theory data (GGA-PBE) for an optimized crystal structure of RbCuAs2Se.

Cell: 5.7017 5.7017 5.8228 Å, 90.00 90.00 90.00°
Sites, in units of the cell vectors:
Rb 0.0000 0.0000 0.0000
Cu 0.5000 0.5000 0.5000
As 0.0000 0.5000 0.0000
As 0.5000 0.0000 0.0000
Se 0.0000 0.0000 0.5000

Summary:
- SG: No. 123
- Energy relative to the elements, uncorrected: 1.800 eV/atom

---

Density functional theory data (GGA-PBE) for an optimized crystal structure of Tb4Pm3Te8.

Cell: 8.8015 8.8015 8.7974 Å, 119.96 119.96 90.02°
Sites, in units of the cell vectors:
Tb 0.0000 0.0000 0.0000
Tb 0.0000 0.0000 0.5000
Tb 0.0000 0.5000 0.0000
Tb 0.5000 0.0000 0.0000
Pm 0.0000 0.5000 0.5000
Pm 0.5000 0.0000 0.5000
Pm 0.5000 0.5000 0.5000
Te 0.2475 0.7525 0.5000
Te 0.2510 0.2510 0.5071
Te 0.2514 0.2514 0.9951
Te 0.2537 0.7463 0.0000
Te 0.7463 0.2537 0.0000
Te 0.7486 0.7486 0.0049
Te 0.7490 0.7490 0.4929
Te 0.7525 0.2475 0.5000

Summary:
- SG: No. 12
- Energy relative to the elements, uncorrected: -1.412 eV/atom

---

Density functional theory data (GGA-PBE) for an optimized crystal structure of Ta2RhAu.

Cell: 5.8500 5.8500 5.8500 Å, 102.84 102.84 123.75°
Sites, in units of the cell vectors:
Ta 0.0978 0.1250 0.4728
Ta 0.3750 0.9022 0.0272
Ta 0.6522 0.6250 0.5272
Ta 0.8750 0.3478 0.9728
Rh 0.0000 0.0000 0.0000
Rh 0.7500 0.2500 0.5000
Au 0.2500 0.7500 0.5000
Au 0.5000 0.5000 0.0000

Summary:
- SG: No. 122
- DFT formation energy: 0.2095 eV/atom

---

Density functional theory data (GGA-PBE) for an optimized crystal structure of TaMn3I.

Cell: 4.8780 4.8780 4.8780 Å, 90.00 90.00 90.00°
Sites, in units of the cell vectors:
Ta 0.0000 0.0000 0.0000
Mn 0.0000 0.0000 0.5000
Mn 0.0000 0.5000 0.0000
Mn 0.5000 0.0000 0.0000
I 0.5000 0.5000 0.5000

Summary:
- SG: No. 221
- Energy relative to the elements, uncorrected: 1.336 eV/atom

---

Density functional theory data (GGA-PBE) for an optimized crystal structure of Pm2HoTm8.

Cell: 9.3036 9.3036 9.3036 Å, 145.91 129.17 62.62°
Sites, in units of the cell vectors:
Pm 0.2011 0.2011 0.0000
Pm 0.7989 0.7989 0.0000
Ho 0.5000 0.5000 0.0000
Tm 0.0717 0.3622 0.7095
Tm 0.2091 0.0000 0.2091
Tm 0.3402 0.8402 0.5000
Tm 0.3473 0.6378 0.7095
Tm 0.6527 0.3622 0.2905
Tm 0.6598 0.1598 0.5000
Tm 0.7909 0.0000 0.7909
Tm 0.9283 0.6378 0.2905

Summary:
- SG: No. 71
- DFT formation energy: 0.1194 eV/atom

---

Density functional theory data (GGA-PBE) for an optimized crystal structure of Bi3OsW.

Cell: 5.3238 5.3238 5.3238 Å, 90.00 90.00 90.00°
Sites, in units of the cell vectors:
Bi 0.0000 0.0000 0.5000
Bi 0.0000 0.5000 0.0000
Bi 0.5000 0.0000 0.0000
Os 0.5000 0.5000 0.5000
W 0.0000 0.0000 0.0000

Summary:
- SG: No. 221
- DFT formation energy: 1.7914 eV/atom

---

Density functional theory data (GGA-PBE) for an optimized crystal structure of HoPa2As.

Cell: 10.6714 10.6714 10.6714 Å, 18.44 18.44 18.44°
Sites, in units of the cell vectors:
Ho 0.0000 0.0000 0.0000
Pa 0.1009 0.1009 0.1009
Pa 0.8991 0.8991 0.8991
As 0.5000 0.5000 0.5000

Summary:
- SG: No. 166
- DFT formation energy: 0.0368 eV/atom

---

Density functional theory data (GGA-PBE) for an optimized crystal structure of BeCr2Mo.

Cell: 3.0398 3.0398 5.1932 Å, 90.00 90.00 90.00°
Sites, in units of the cell vectors:
Be 0.0000 0.0000 0.0000
Cr 0.5000 0.5000 0.2118
Cr 0.5000 0.5000 0.7882
Mo 0.0000 0.0000 0.5000

Summary:
- SG: No. 123
- DFT formation energy: 0.0820 eV/atom

---

Density functional theory data (GGA-PBE) for an optimized crystal structure of NdErHf.

Cell: 3.4125 3.4125 8.4785 Å, 90.00 90.00 120.00°
Sites, in units of the cell vectors:
Nd 0.0000 0.0000 0.0000
Er 0.3333 0.6667 0.6236
Hf 0.6667 0.3333 0.3178

Summary:
- SG: No. 156
- DFT formation energy: 0.1553 eV/atom

---

Density functional theory data (GGA-PBE) for an optimized crystal structure of CaPr6Y2Ho.

Cell: 9.1043 9.1043 9.8747 Å, 94.00 94.00 118.24°
Sites, in units of the cell vectors:
Ca 0.0966 0.9034 0.7500
Ca 0.9034 0.0966 0.2500
Pr 0.0080 0.7891 0.3790
Pr 0.0678 0.5243 0.1786
Pr 0.2109 0.9920 0.1210
Pr 0.2676 0.6125 0.5549
Pr 0.3875 0.7324 0.9451
Pr 0.4757 0.9322 0.3214
Pr 0.5243 0.0678 0.6786
Pr 0.6125 0.2676 0.0549
Pr 0.7324 0.3875 0.4451
Pr 0.7891 0.0080 0.8790
Pr 0.9322 0.4757 0.8214
Pr 0.9920 0.2109 0.6210
Y 0.2061 0.3003 0.9549
Y 0.3003 0.2061 0.4549
Y 0.6997 0.7939 0.5451
Y 0.7939 0.6997 0.0451
Ho 0.4694 0.5306 0.2500
Ho 0.5306 0.4694 0.7500

Summary:
- SG: No. 15
- DFT formation energy: 0.1317 eV/atom

---

Density functional theory data (GGA-PBE) for an optimized crystal structure of LuNi2Ge.

Cell: 4.3707 4.3707 4.3707 Å, 60.00 60.00 60.00°
Sites, in units of the cell vectors:
Lu 0.0000 0.0000 0.0000
Ni 0.2500 0.2500 0.2500
Ni 0.7500 0.7500 0.7500
Ge 0.5000 0.5000 0.5000

Summary:
- SG: No. 225
- DFT formation energy: -0.4840 eV/atom

---

Density functional theory data (GGA-PBE) for an optimized crystal structure of BaGaNiP2.

Cell: 6.3011 6.3011 7.2705 Å, 90.00 90.00 127.01°
Sites, in units of the cell vectors:
Ba 0.2500 0.7500 0.7876
Ba 0.7500 0.2500 0.2124
Ga 0.0000 0.0000 0.5000
Ga 0.5000 0.5000 0.5000
Ni 0.2500 0.2500 0.0000
Ni 0.7500 0.7500 0.0000
P 0.0807 0.9193 0.1986
P 0.4193 0.5807 0.1986
P 0.5807 0.4193 0.8014
P 0.9193 0.0807 0.8014

Summary:
- SG: No. 67
- DFT formation energy: -0.4490 eV/atom

---

Density functional theory data (GGA-PBE) for an optimized crystal structure of PC.

Cell: 4.9122 4.9122 2.7279 Å, 90.00 90.00 120.00°
Sites, in units of the cell vectors:
P 0.0000 0.0000 0.0000
P 0.3333 0.6667 0.5000
P 0.6667 0.3333 0.5000
C 0.0000 0.3626 0.0000
C 0.3626 0.0000 0.0000
C 0.6374 0.6374 0.0000

Summary:
- SG: No. 189
- DFT formation energy: 1.2020 eV/atom

---

Density functional theory data (GGA-PBE) for an optimized crystal structure of MgBe2SeO6.

Cell: 6.3031 6.3031 5.3959 Å, 106.82 106.82 81.69°
Sites, in units of the cell vectors:
Mg 0.0965 0.9035 0.7500
Mg 0.9035 0.0965 0.2500
Be 0.2299 0.3761 0.8687
Be 0.3761 0.2299 0.3687
Be 0.6239 0.7701 0.6313
Be 0.7701 0.6239 0.1313
Se 0.2727 0.7273 0.2500
Se 0.7273 0.2727 0.7500
O 0.0190 0.2221 0.6956
O 0.1835 0.6396 0.8976
O 0.2221 0.0190 0.1956
O 0.2814 0.4220 0.2032
O 0.3604 0.8165 0.6024
O 0.4220 0.2814 0.7032
O 0.5780 0.7186 0.2968
O 0.6396 0.1835 0.3976
O 0.7186 0.5780 0.7968
O 0.7779 0.9810 0.8044
O 0.8165 0.3604 0.1024
O 0.9810 0.7779 0.3044

Summary:
- SG: No. 15
- Energy relative to the elements, uncorrected: -1.804 eV/atom

---

Calculated size of the total moment in order - 0.881 0.000 0.000 8.569 0.000 2.188 0.000 0.000 0.000 0.000 0.000 0.000 0.000 0.000 μB per cell
Calculated theoretical density in order - 3.31 7.20 14.97 6.76 8.67 11.02 10.98 7.23 9.52 5.71 10.27 4.72 3.76 3.68 g cm⁻³